DFT (PBE with a Hubbard U) results for Mn2NiAgF8 after structural relaxation.

Unit cell a=4.865 b=4.888 c=6.761 alpha=90.00 beta=90.00 gamma=89.45
Last column: magnetic moment on the atom in μB.
Sites, in units of the cell vectors:
Mn (0.500, 0.500, 0.759)  4.55
F (0.316, 0.320, 0.500)  -0.03
Ni (0.000, 0.000, 0.000)  1.84
F (0.794, 0.201, 0.781)  0.00
F (0.684, 0.680, 0.500)  -0.03
F (0.206, 0.799, 0.219)  0.00
Mn (0.500, 0.500, 0.241)  4.55
Ag (0.000, 0.000, 0.500)  -0.34
F (0.705, 0.700, 0.000)  0.05
F (0.794, 0.201, 0.219)  0.00
F (0.206, 0.799, 0.781)  0.00
F (0.295, 0.300, 0.000)  0.05

Computed properties:
space-group type = P2/m
energy = -5.118 eV per atom